Here is Th2Ga3Pt after structural relaxation from Alexandria. Energies are from PBE.

Output
D(E_F)	4.9	states/eV/cell
space-group type	Cm (8)
size of the total moment	0.000	μB/atom
formation enthalpy at 0 K	-0.786	eV per atom
energy	-34.68	eV/cell

Unit cell a=4.527 b=5.787 c=5.898 alpha=79.40 beta=67.43 gamma=66.97
Element x y z (fractional)
Th1 0.531 0.222 0.717
Th2 0.464 0.780 0.292
Ga1 0.838 0.637 0.687
Ga2 0.835 0.215 0.116
Ga3 0.162 0.787 0.889
Pt1 0.171 0.360 0.299